Entry 1:
The following is a GGA-PBE calculation of a relaxed structure of KIn2Sn2Pb, from Alexandria.

- Density of states at the Fermi level: 4.276 states/eV/f.u.
- ΔH_f (0 K): -58.6 meV per atom

Structure (CIF):
```
data_KIn2Sn2Pb
_cell_length_a 5.280
_cell_length_b 5.280
_cell_length_c 7.798
_cell_angle_alpha 90.00
_cell_angle_beta 90.00
_cell_angle_gamma 120.00
_symmetry_space_group_name_H-M 'P 1'
_symmetry_Int_Tables_number 1
_symmetry_space_group_name_Hall 'P 1'
loop_
_atom_site_label
_atom_site_fract_x
_atom_site_fract_y
_atom_site_fract_z
K1 0.000 0.000 0.000
Sn1 0.667 0.333 0.725
Sn2 0.333 0.667 0.275
In1 0.667 0.333 0.310
In2 0.333 0.667 0.690
Pb1 0.000 0.000 0.500
```

Entry 2:
The following is a GGA-PBE calculation of a relaxed structure of K2In4Sn3Pb, from Alexandria.

- Density of states at the Fermi level: 4.330 states/eV/f.u.
- ΔH_f (0 K): -146.8 meV per atom

Structure (CIF):
```
data_K2In4Sn3Pb
_cell_length_a 5.243
_cell_length_b 5.243
_cell_length_c 11.972
_cell_angle_alpha 90.00
_cell_angle_beta 90.00
_cell_angle_gamma 90.00
_symmetry_space_group_name_H-M 'P 1'
_symmetry_Int_Tables_number 1
_symmetry_space_group_name_Hall 'P 1'
loop_
_atom_site_label
_atom_site_fract_x
_atom_site_fract_y
_atom_site_fract_z
In1 0.500 0.500 0.000
In2 0.000 0.000 0.000
In3 0.500 0.000 0.633
In4 0.000 0.500 0.367
K1 0.500 0.000 0.249
K2 0.000 0.500 0.751
Sn1 0.500 0.000 0.873
Sn2 0.000 0.000 0.500
Sn3 0.000 0.500 0.127
Pb1 0.500 0.500 0.500
```

Entry 3:
The following is a GGA-PBE calculation of a relaxed structure of K2In6SnPb, from Alexandria.

- Density of states at the Fermi level: 4.873 states/eV/f.u.
- ΔH_f (0 K): 63.3 meV per atom

Structure (CIF):
```
data_K2In6SnPb
_cell_length_a 7.761
_cell_length_b 7.761
_cell_length_c 14.876
_cell_angle_alpha 74.88
_cell_angle_beta 74.88
_cell_angle_gamma 60.00
_symmetry_space_group_name_H-M 'P 1'
_symmetry_Int_Tables_number 1
_symmetry_space_group_name_Hall 'P 1'
loop_
_atom_site_label
_atom_site_fract_x
_atom_site_fract_y
_atom_site_fract_z
Sn1 0.424 0.424 0.729
Sn2 0.576 0.576 0.271
In1 0.663 0.663 0.610
In2 0.623 0.231 0.914
In3 0.377 0.769 0.086
In4 0.231 0.231 0.914
In5 0.065 0.663 0.610
In6 0.231 0.623 0.914
In7 0.663 0.065 0.610
In8 0.337 0.935 0.390
In9 0.769 0.377 0.086
In10 0.337 0.337 0.390
In11 0.769 0.769 0.086
In12 0.935 0.337 0.390
K1 0.896 0.896 0.311
K2 0.282 0.282 0.154
K3 0.104 0.104 0.689
K4 0.718 0.718 0.846
Pb1 0.500 0.500 0.500
Pb2 0.000 0.000 0.000
```

Entry 4:
The following is a GGA-PBE calculation of a relaxed structure of KSrInPb, from Alexandria.

- Density of states at the Fermi level: 1.631 states/eV/f.u.
- ΔH_f (0 K): -232.3 meV per atom

Structure (CIF):
```
data_KSrInPb
_cell_length_a 5.849
_cell_length_b 5.849
_cell_length_c 5.849
_cell_angle_alpha 60.00
_cell_angle_beta 60.00
_cell_angle_gamma 60.00
_symmetry_space_group_name_H-M 'P 1'
_symmetry_Int_Tables_number 1
_symmetry_space_group_name_Hall 'P 1'
loop_
_atom_site_label
_atom_site_fract_x
_atom_site_fract_y
_atom_site_fract_z
Pb1 0.750 0.750 0.750
K1 0.500 0.500 0.500
Sr1 0.000 0.000 0.000
In1 0.250 0.250 0.250
```

no.,total magnetic moment (μB/f.u.),total DFT energy (no corrections) (eV per atom)
1,0.000,-3.107
2,0.000,-3.033
3,0.000,-2.570
4,0.000,-2.539